DFT (GGA-PBE) results for crystalline TbPm4Al4 at its relaxed geometry.

a = 8.8657 Å, b = 8.8657 Å, c = 6.0327 Å
α = 90.00°, β = 90.00°, γ = 90.00°
Fractional positions:
Tb 0.2500 0.2500 0.2500
Tb 0.7500 0.7500 0.7500
Pm 0.0787 0.8235 0.6266
Pm 0.1765 0.5787 0.1266
Pm 0.3235 0.9213 0.1266
Pm 0.4213 0.6765 0.6266
Pm 0.5787 0.3235 0.3734
Pm 0.6765 0.0787 0.8734
Pm 0.8235 0.4213 0.8734
Pm 0.9213 0.1765 0.3734
Al 0.0607 0.1584 0.8531
Al 0.1584 0.4393 0.6469
Al 0.3416 0.0607 0.6469
Al 0.4393 0.3416 0.8531
Al 0.5607 0.6584 0.1469
Al 0.6584 0.9393 0.3531
Al 0.8416 0.5607 0.3531
Al 0.9393 0.8416 0.1469

Values from the calculation:
DOS at the Fermi energy in states/eV/f.u.: 8.0
Symmetry: P4_2/n
Energy relative to the elements in eV/atom: -0.15
Magnetic moment in Bohr magnetons per cell: 0.000

---

DFT (GGA-PBE) results for crystalline Tb3PmAl8 at its relaxed geometry.

a = 5.5865 Å, b = 5.5865 Å, c = 9.1923 Å
α = 90.00°, β = 90.00°, γ = 120.00°
Fractional positions:
Tb 0.0000 0.0000 0.0000
Tb 0.0000 0.0000 0.3639
Tb 0.3333 0.6667 0.8647
Pm 0.3333 0.6667 0.5007
Al 0.0090 0.5045 0.1812
Al 0.3243 0.1621 0.6848
Al 0.4955 0.5045 0.1812
Al 0.4955 0.9910 0.1812
Al 0.6667 0.3333 0.4318
Al 0.6667 0.3333 0.9336
Al 0.8379 0.1621 0.6848
Al 0.8379 0.6757 0.6848

Values from the calculation:
DOS at the Fermi energy in states/eV/f.u.: 5.7
Energy relative to the lowest polymorph listed for this composition in eV/atom: 0.009
Symmetry: P3m1
Energy relative to the elements in eV/atom: -0.51
Magnetic moment in Bohr magnetons per cell: 0.000

---

DFT (GGA-PBE) results for crystalline TbPm6Al2 at its relaxed geometry.

a = 6.6932 Å, b = 6.6932 Å, c = 11.9764 Å
α = 108.58°, β = 108.58°, γ = 32.76°
Fractional positions:
Tb 0.0000 0.0000 0.0000
Pm 0.0245 0.0245 0.3255
Pm 0.3107 0.3107 0.4098
Pm 0.3136 0.3136 0.1237
Pm 0.6864 0.6864 0.8763
Pm 0.6893 0.6893 0.5902
Pm 0.9755 0.9755 0.6745
Al 0.3519 0.3519 0.8013
Al 0.6481 0.6481 0.1987

Values from the calculation:
DOS at the Fermi energy in states/eV/f.u.: 9.4
Symmetry: C2/m
Energy relative to the elements in eV/atom: -0.14
Magnetic moment in Bohr magnetons per cell: 0.000

---

DFT (GGA-PBE) results for crystalline TbPm4Al at its relaxed geometry.

a = 3.5987 Å, b = 3.5987 Å, c = 14.4136 Å
α = 90.00°, β = 90.00°, γ = 90.00°
Fractional positions:
Tb 0.0000 0.0000 0.0000
Pm 0.0000 0.0000 0.3640
Pm 0.0000 0.0000 0.6360
Pm 0.5000 0.5000 0.1784
Pm 0.5000 0.5000 0.8216
Al 0.5000 0.5000 0.5000

Values from the calculation:
DOS at the Fermi energy in states/eV/f.u.: 7.3
Energy relative to the lowest polymorph listed for this composition in eV/atom: 0.000
Symmetry: P4/mmm
Energy relative to the elements in eV/atom: -0.10
Magnetic moment in Bohr magnetons per cell: 0.000

---

DFT (GGA-PBE) results for crystalline Tb15Pm4Al at its relaxed geometry.

a = 4.9909 Å, b = 4.9909 Å, c = 25.2703 Å
α = 90.00°, β = 90.00°, γ = 90.00°
Fractional positions:
Tb 0.0000 0.0000 0.0000
Tb 0.0000 0.0000 0.1932
Tb 0.0000 0.0000 0.3978
Tb 0.0000 0.0000 0.6022
Tb 0.0000 0.0000 0.8068
Tb 0.0000 0.5000 0.0927
Tb 0.0000 0.5000 0.2966
Tb 0.0000 0.5000 0.5000
Tb 0.0000 0.5000 0.7034
Tb 0.0000 0.5000 0.9073
Tb 0.5000 0.0000 0.0927
Tb 0.5000 0.0000 0.2966
Tb 0.5000 0.0000 0.5000
Tb 0.5000 0.0000 0.7034
Tb 0.5000 0.0000 0.9073
Pm 0.5000 0.5000 0.1956
Pm 0.5000 0.5000 0.3986
Pm 0.5000 0.5000 0.6014
Pm 0.5000 0.5000 0.8044
Al 0.5000 0.5000 0.0000

Values from the calculation:
DOS at the Fermi energy in states/eV/f.u.: 24.5
Symmetry: P4/mmm
Energy relative to the elements in eV/atom: -0.01
Magnetic moment in Bohr magnetons per cell: 0.004

---

DFT (GGA-PBE) results for crystalline Tb2PmAl at its relaxed geometry.

a = 4.8159 Å, b = 4.8159 Å, c = 4.7943 Å
α = 90.00°, β = 90.00°, γ = 90.00°
Fractional positions:
Tb 0.0000 0.5000 0.0000
Tb 0.5000 0.0000 0.0000
Pm 0.0000 0.0000 0.5000
Al 0.5000 0.5000 0.5000

Values from the calculation:
DOS at the Fermi energy in states/eV/f.u.: 6.3
Energy relative to the lowest polymorph listed for this composition in eV/atom: 0.015
Symmetry: P4/mmm
Energy relative to the elements in eV/atom: -0.18
Magnetic moment in Bohr magnetons per cell: 0.002

---

DFT (GGA-PBE) results for crystalline TbPmAl2 at its relaxed geometry.

a = 3.6584 Å, b = 3.6584 Å, c = 7.3034 Å
α = 90.00°, β = 90.00°, γ = 90.00°
Fractional positions:
Tb 0.0000 0.0000 0.0000
Pm 0.0000 0.0000 0.5000
Al 0.5000 0.5000 0.2404
Al 0.5000 0.5000 0.7596

Values from the calculation:
DOS at the Fermi energy in states/eV/f.u.: 1.4
Symmetry: P4/mmm
Energy relative to the elements in eV/atom: -0.38
Magnetic moment in Bohr magnetons per cell: 0.000

---

DFT (GGA-PBE) results for crystalline TbPm2Al3 at its relaxed geometry.

a = 3.6625 Å, b = 3.6625 Å, c = 11.0662 Å
α = 90.00°, β = 90.00°, γ = 90.00°
Fractional positions:
Tb 0.0000 0.0000 0.0000
Pm 0.0000 0.0000 0.3303
Pm 0.0000 0.0000 0.6697
Al 0.5000 0.5000 0.1589
Al 0.5000 0.5000 0.5000
Al 0.5000 0.5000 0.8411

Values from the calculation:
DOS at the Fermi energy in states/eV/f.u.: 2.3
Symmetry: P4/mmm
Energy relative to the elements in eV/atom: -0.38
Magnetic moment in Bohr magnetons per cell: 0.000

---

DFT (GGA-PBE) results for crystalline Tb2PmAl at its relaxed geometry.

a = 10.7384 Å, b = 10.7384 Å, c = 10.7384 Å
α = 19.35°, β = 19.35°, γ = 19.35°
Fractional positions:
Tb 0.0000 0.0000 0.0000
Tb 0.1901 0.1901 0.1901
Pm 0.4285 0.4285 0.4285
Al 0.5947 0.5947 0.5947

Values from the calculation:
DOS at the Fermi energy in states/eV/f.u.: 4.7
Energy relative to the lowest polymorph listed for this composition in eV/atom: 0.126
Symmetry: R3m
Energy relative to the elements in eV/atom: -0.06
Magnetic moment in Bohr magnetons per cell: 0.001

---

DFT (GGA-PBE) results for crystalline TbPm2Al at its relaxed geometry.

a = 4.8335 Å, b = 4.8335 Å, c = 4.8572 Å
α = 90.00°, β = 90.00°, γ = 90.00°
Fractional positions:
Tb 0.0000 0.0000 0.0000
Pm 0.0000 0.5000 0.5000
Pm 0.5000 0.0000 0.5000
Al 0.5000 0.5000 0.0000

Values from the calculation:
DOS at the Fermi energy in states/eV/f.u.: 6.5
Energy relative to the lowest polymorph listed for this composition in eV/atom: 0.015
Symmetry: P4/mmm
Energy relative to the elements in eV/atom: -0.17
Magnetic moment in Bohr magnetons per cell: 0.003

---

DFT (GGA-PBE) results for crystalline Tb3Pm12Al at its relaxed geometry.

a = 5.0437 Å, b = 5.0437 Å, c = 20.4716 Å
α = 90.00°, β = 90.00°, γ = 90.00°
Fractional positions:
Tb 0.0000 0.0000 0.0000
Tb 0.0000 0.0000 0.2539
Tb 0.0000 0.0000 0.7461
Pm 0.0000 0.5000 0.1276
Pm 0.0000 0.5000 0.3829
Pm 0.0000 0.5000 0.6171
Pm 0.0000 0.5000 0.8724
Pm 0.5000 0.0000 0.1276
Pm 0.5000 0.0000 0.3829
Pm 0.5000 0.0000 0.6171
Pm 0.5000 0.0000 0.8724
Pm 0.5000 0.5000 0.0000
Pm 0.5000 0.5000 0.2559
Pm 0.5000 0.5000 0.5000
Pm 0.5000 0.5000 0.7441
Al 0.0000 0.0000 0.5000

Values from the calculation:
DOS at the Fermi energy in states/eV/f.u.: 22.5
Symmetry: P4/mmm
Energy relative to the elements in eV/atom: -0.02
Magnetic moment in Bohr magnetons per cell: 0.000

---

DFT (GGA-PBE) results for crystalline Tb2Pm3Al4 at its relaxed geometry.

a = 8.3252 Å, b = 8.3252 Å, c = 9.4643 Å
α = 90.00°, β = 90.00°, γ = 130.45°
Fractional positions:
Tb 0.1053 0.8947 0.9590
Tb 0.3947 0.6053 0.4590
Tb 0.6053 0.3947 0.5410
Tb 0.8947 0.1053 0.0410
Pm 0.0000 0.0000 0.5000
Pm 0.0222 0.4778 0.7500
Pm 0.4778 0.0222 0.2500
Pm 0.5000 0.5000 0.0000
Pm 0.5222 0.9778 0.7500
Pm 0.9778 0.5222 0.2500
Al 0.1942 0.8058 0.5146
Al 0.2336 0.2664 0.7500
Al 0.2664 0.2336 0.2500
Al 0.3058 0.6942 0.0146
Al 0.6942 0.3058 0.9854
Al 0.7336 0.7664 0.7500
Al 0.7664 0.7336 0.2500
Al 0.8058 0.1942 0.4854

Values from the calculation:
DOS at the Fermi energy in states/eV/f.u.: 5.6
Symmetry: Cmce
Energy relative to the elements in eV/atom: -0.11
Magnetic moment in Bohr magnetons per cell: 0.000